Compound: PmAgIO6
Source: Alexandria
Functional: GGA-PBE
Structure: relaxed

Results
Space group: P312, No. 149
Total moment in μB per formula unit: 1.05
Energy relative to the elements, uncorrected in eV per atom: -1.087

CIF file:
```
data_PmAgIO6
_cell_length_a 5.5160
_cell_length_b 5.5160
_cell_length_c 4.9120
_cell_angle_alpha 90.00
_cell_angle_beta 90.00
_cell_angle_gamma 120.00
_symmetry_space_group_name_H-M 'P 1'
_symmetry_Int_Tables_number 1
loop_
_symmetry_equiv_pos_as_xyz
'x,y,z'
loop_
_atom_site_label
_atom_site_type_symbol
_atom_site_fract_x
_atom_site_fract_y
_atom_site_fract_z
Pm1 Pm 0.0000 0.0000 0.0000
Ag1 Ag 0.6667 0.3333 0.5000
I1 I 0.3333 0.6667 0.5000
O1 O 0.0528 0.3808 0.2765
O2 O 0.0528 0.6720 0.7235
O3 O 0.3280 0.3808 0.7235
O4 O 0.3280 0.9472 0.2765
O5 O 0.6192 0.6720 0.2765
O6 O 0.6192 0.9472 0.7235
```



Compound: Pm2AgIO8
Source: Alexandria
Functional: GGA-PBE
Structure: relaxed

Results
Space group: P-1, No. 2
Total moment in μB per formula unit: 0.00
Energy relative to the elements, uncorrected in eV per atom: -1.533

CIF file:
```
data_Pm2AgIO8
_cell_length_a 4.6993
_cell_length_b 5.0897
_cell_length_c 7.1531
_cell_angle_alpha 85.20
_cell_angle_beta 88.77
_cell_angle_gamma 84.74
_symmetry_space_group_name_H-M 'P 1'
_symmetry_Int_Tables_number 1
loop_
_symmetry_equiv_pos_as_xyz
'x,y,z'
loop_
_atom_site_label
_atom_site_type_symbol
_atom_site_fract_x
_atom_site_fract_y
_atom_site_fract_z
Pm1 Pm 0.0914 0.4875 0.2526
Pm2 Pm 0.9086 0.5125 0.7474
Ag1 Ag 0.5000 0.0000 0.0000
I1 I 0.5000 0.0000 0.5000
O1 O 0.1644 0.2180 0.5406
O2 O 0.2098 0.3131 0.9765
O3 O 0.3270 0.8980 0.2659
O4 O 0.3710 0.7115 0.6502
O5 O 0.6290 0.2885 0.3498
O6 O 0.6730 0.1020 0.7341
O7 O 0.7902 0.6869 0.0235
O8 O 0.8356 0.7820 0.4594
```



Compound: AgPtIO2
Source: Alexandria
Functional: GGA-PBE
Structure: relaxed

Results
Space group: P4/mmm, No. 123
Total moment in μB per formula unit: 0.23
Energy relative to the elements, uncorrected in eV per atom: -0.001
E above lowest polymorph in eV per atom: 0.000

CIF file:
```
data_AgPtIO2
_cell_length_a 3.8789
_cell_length_b 3.8789
_cell_length_c 8.1772
_cell_angle_alpha 90.00
_cell_angle_beta 90.00
_cell_angle_gamma 90.00
_symmetry_space_group_name_H-M 'P 1'
_symmetry_Int_Tables_number 1
loop_
_symmetry_equiv_pos_as_xyz
'x,y,z'
loop_
_atom_site_label
_atom_site_type_symbol
_atom_site_fract_x
_atom_site_fract_y
_atom_site_fract_z
Ag1 Ag 0.0000 0.0000 0.0000
Pt1 Pt 0.5000 0.5000 0.5000
I1 I 0.5000 0.5000 0.0000
O1 O 0.0000 0.5000 0.5000
O2 O 0.5000 0.0000 0.5000
```



Compound: AgPtI2O
Source: Alexandria
Functional: GGA-PBE
Structure: relaxed

Results
Space group: P4/mmm, No. 123
Total moment in μB per formula unit: 0.41
Energy relative to the elements, uncorrected in eV per atom: 0.052
E above lowest polymorph in eV per atom: 0.000

CIF file:
```
data_AgPtI2O
_cell_length_a 5.7383
_cell_length_b 5.7383
_cell_length_c 3.8168
_cell_angle_alpha 90.00
_cell_angle_beta 90.00
_cell_angle_gamma 90.00
_symmetry_space_group_name_H-M 'P 1'
_symmetry_Int_Tables_number 1
loop_
_symmetry_equiv_pos_as_xyz
'x,y,z'
loop_
_atom_site_label
_atom_site_type_symbol
_atom_site_fract_x
_atom_site_fract_y
_atom_site_fract_z
Ag1 Ag 0.0000 0.0000 0.0000
Pt1 Pt 0.5000 0.5000 0.5000
I1 I 0.0000 0.5000 0.5000
I2 I 0.5000 0.0000 0.5000
O1 O 0.5000 0.5000 0.0000
```